1.
Rb3Er2ThS6 | GGA-PBE | optimized geometry

Properties
V: 333.0 Å³/cell
Fermi-level density of states: 0.35 states/eV/atom
raw total energy: -5.462 eV per atom
formation energy without anion corrections: -1.78 eV/atom

The structure in POSCAR format:
```
Rb3Er2ThS6
1.0
7.060 -0.001 0.000
-3.530 6.114 0.000
-1.177 -2.039 7.715
Rb Er Th S
3 2 1 6
direct
0.167 0.833 0.500
0.833 0.167 0.500
0.500 0.500 0.500
0.333 0.667 0.000
0.667 0.333 0.000
0.000 0.000 0.000
0.935 0.596 0.806
0.726 0.726 0.194
0.065 0.404 0.194
0.596 0.935 0.806
0.274 0.274 0.806
0.404 0.065 0.194
```

2.
Cs2ReCl2F4 | GGA-PBE | optimized geometry

Properties
V: 238.8 Å³/cell
raw total energy: -4.910 eV per atom
formation energy without anion corrections: -2.10 eV/atom

The structure in POSCAR format:
```
Cs2ReCl2F4
1.0
6.032 -0.475 -0.323
0.708 6.586 0.243
0.708 2.644 6.037
Cs Re Cl F
2 1 2 4
direct
0.280 0.665 0.665
0.720 0.335 0.335
0.500 0.000 0.000
0.217 0.151 0.151
0.783 0.849 0.849
0.349 0.706 0.120
0.651 0.880 0.294
0.651 0.294 0.880
0.349 0.120 0.706
```

3.
MgNpTl2 | GGA-PBE | optimized geometry

Properties
V: 105.5 Å³/cell
Fermi-level density of states: 2.16 states/eV/atom
raw total energy: -4.617 eV per atom
E_form: 0.200 eV/atom

The structure in POSCAR format:
```
MgNpTl2
1.0
-2.170 -1.288 3.250
3.679 -3.281 1.156
2.230 3.516 2.882
Np Tl Mg
1 2 1
direct
0.500 0.000 0.000
0.000 0.000 0.500
0.000 0.500 0.000
0.500 0.500 0.500
```

4.
MgIrRh | GGA-PBE | optimized geometry

Properties
V: 53.3 Å³/cell
energy relative to the lowest polymorph listed for this composition: 390 meV per atom
Fermi-level density of states: 1.22 states/eV/atom
raw total energy: -5.758 eV per atom
E_form: 0.177 eV/atom

The structure in POSCAR format:
```
MgIrRh
1.0
-2.492 -0.181 -3.407
1.707 -0.097 -3.863
-0.180 -3.539 -2.300
Ir Mg Rh
1 1 1
direct
0.000 0.000 0.000
0.500 0.500 0.500
0.250 0.250 0.250
```

5.
CrRhBr2 | GGA-PBE | optimized geometry

Properties
V: 83.8 Å³/cell
energy relative to the lowest polymorph listed for this composition: 438 meV per atom
Fermi-level density of states: 1.12 states/eV/atom
raw total energy: -4.712 eV per atom
formation energy without anion corrections: 0.37 eV/atom

The structure in POSCAR format:
```
CrRhBr2
1.0
3.433 0.000 0.000
0.000 6.092 0.000
0.000 0.000 4.007
Br Cr Rh
2 1 1
direct
0.000 0.000 0.000
0.500 0.500 0.000
0.500 0.000 0.500
0.000 0.500 0.500
```

6.
Ta2BS | GGA-PBE | optimized geometry

Properties
V: 143.2 Å³/cell
energy relative to the lowest polymorph listed for this composition: 135 meV per atom
Fermi-level density of states: 0.60 states/eV/atom
raw total energy: -8.571 eV per atom
formation energy without anion corrections: 0.06 eV/atom

The structure in POSCAR format:
```
Ta2BS
1.0
5.217 0.000 0.000
0.000 5.217 0.000
2.609 2.609 5.261
S B Ta
2 2 4
direct
0.000 0.000 0.000
0.750 0.250 0.500
0.500 0.500 0.000
0.250 0.750 0.500
0.577 0.125 0.250
0.173 0.625 0.250
0.375 0.423 0.750
0.875 0.827 0.750
```

V of number 5 (CrRhBr2)? 83.8 Å³/cell

The lowest V belongs to which entry? MgIrRh

Which formula does entry 2 have? Cs2ReCl2F4

What is the raw total energy in the fourth record? -5.758 eV per atom